1.
Compound: ScIn2Ga2
Source: Alexandria
Functional: PBE
Structure: relaxed

```
data_ScIn2Ga2
_chemical_formula_sum 'Sc1 In2 Ga2'
_cell_length_a 3.787
_cell_length_b 3.787
_cell_length_c 8.490
_cell_angle_alpha 77.11
_cell_angle_beta 77.11
_cell_angle_gamma 90.00
_symmetry_space_group_name_H-M 'P 1'
_symmetry_Int_Tables_number 1
loop_
_symmetry_equiv_pos_as_xyz
'x,y,z'
loop_
_atom_site_label
_atom_site_fract_x
_atom_site_fract_y
_atom_site_fract_z
_atom_site_occupancy
In1 0.398 0.398 0.204 1
In2 0.602 0.602 0.796 1
Ga1 0.750 0.250 0.500 1
Ga2 0.250 0.750 0.500 1
Sc1 0.000 0.000 0.000 1
```

Values from the calculation:
Crystal system: tetragonal
Total energy, eV per atom: -3.61
ΔE to the lowest computed polymorph, meV per atom: 108

2.
Compound: Pr2Si3Tc2
Source: Alexandria
Functional: PBE
Structure: relaxed

```
data_Pr2Si3Tc2
_chemical_formula_sum 'Pr2 Si3 Tc2'
_cell_length_a 4.358
_cell_length_b 7.414
_cell_length_c 6.175
_cell_angle_alpha 126.73
_cell_angle_beta 110.66
_cell_angle_gamma 90.00
_symmetry_space_group_name_H-M 'P 1'
_symmetry_Int_Tables_number 1
loop_
_symmetry_equiv_pos_as_xyz
'x,y,z'
loop_
_atom_site_label
_atom_site_fract_x
_atom_site_fract_y
_atom_site_fract_z
_atom_site_occupancy
Tc1 0.770 0.638 0.540 1
Tc2 0.230 0.362 0.460 1
Si1 0.146 0.594 0.291 1
Si2 0.000 0.000 0.000 1
Si3 0.854 0.406 0.709 1
Pr1 0.424 0.179 0.848 1
Pr2 0.576 0.821 0.152 1
```

Values from the calculation:
Crystal system: monoclinic
Total energy, eV per atom: -7.22
Energy relative to the elements, uncorrected, eV per atom: -0.566

3.
Compound: Co6Re7
Source: Alexandria
Functional: PBE
Structure: relaxed

```
data_Co6Re7
_chemical_formula_sum 'Co6 Re7'
_cell_length_a 9.017
_cell_length_b 9.017
_cell_length_c 9.017
_cell_angle_alpha 32.47
_cell_angle_beta 32.47
_cell_angle_gamma 32.47
_symmetry_space_group_name_H-M 'P 1'
_symmetry_Int_Tables_number 1
loop_
_symmetry_equiv_pos_as_xyz
'x,y,z'
loop_
_atom_site_label
_atom_site_fract_x
_atom_site_fract_y
_atom_site_fract_z
_atom_site_occupancy
Re1 0.922 0.412 0.412 1
Re2 0.078 0.588 0.588 1
Re3 0.412 0.922 0.412 1
Re4 0.588 0.078 0.588 1
Re5 0.412 0.412 0.922 1
Re6 0.588 0.588 0.078 1
Re7 0.500 0.500 0.500 1
Co1 0.046 0.046 0.046 1
Co2 0.850 0.850 0.850 1
Co3 0.150 0.150 0.150 1
Co4 0.664 0.664 0.664 1
Co5 0.954 0.954 0.954 1
Co6 0.336 0.336 0.336 1
```

Values from the calculation:
Crystal system: trigonal
Total energy, eV per atom: -9.50

4.
Compound: SrAc4Pm3Se8
Source: Alexandria
Functional: PBE
Structure: relaxed

```
data_SrAc4Pm3Se8
_chemical_formula_sum 'Sr1 Ac4 Pm3 Se8'
_cell_length_a 8.702
_cell_length_b 8.725
_cell_length_c 8.702
_cell_angle_alpha 119.91
_cell_angle_beta 120.00
_cell_angle_gamma 90.00
_symmetry_space_group_name_H-M 'P 1'
_symmetry_Int_Tables_number 1
loop_
_symmetry_equiv_pos_as_xyz
'x,y,z'
loop_
_atom_site_label
_atom_site_fract_x
_atom_site_fract_y
_atom_site_fract_z
_atom_site_occupancy
Se1 0.259 0.265 0.012 1
Se2 0.744 0.733 0.488 1
Se3 0.247 0.735 0.988 1
Se4 0.247 0.735 0.494 1
Se5 0.741 0.735 0.988 1
Se6 0.753 0.265 0.012 1
Se7 0.256 0.267 0.512 1
Se8 0.753 0.265 0.506 1
Ac1 0.000 0.000 0.500 1
Ac2 0.000 0.000 0.000 1
Ac3 0.500 0.000 0.000 1
Ac4 0.500 0.000 0.500 1
Pm1 0.000 0.500 0.500 1
Pm2 0.500 0.500 0.000 1
Pm3 0.500 0.500 0.500 1
Sr1 0.000 0.500 0.000 1
```

Values from the calculation:
Crystal system: trigonal
Total energy, eV per atom: -5.62
Energy relative to the elements, uncorrected, eV per atom: -1.856

5.
Compound: BaAl2Pt
Source: Alexandria
Functional: PBE
Structure: relaxed

```
data_BaAl2Pt
_chemical_formula_sum 'Ba1 Al2 Pt1'
_cell_length_a 3.428
_cell_length_b 3.427
_cell_length_c 7.717
_cell_angle_alpha 90.00
_cell_angle_beta 90.00
_cell_angle_gamma 90.00
_symmetry_space_group_name_H-M 'P 1'
_symmetry_Int_Tables_number 1
loop_
_symmetry_equiv_pos_as_xyz
'x,y,z'
loop_
_atom_site_label
_atom_site_fract_x
_atom_site_fract_y
_atom_site_fract_z
_atom_site_occupancy
Pt1 0.500 0.500 0.842 1
Ba1 0.000 0.000 0.512 1
Al1 0.000 0.000 0.967 1
Al2 0.500 0.500 0.179 1
```

Values from the calculation:
Crystal system: tetragonal
Total energy, eV per atom: -4.28

6.
Compound: MnRe2Ru
Source: Alexandria
Functional: PBE
Structure: relaxed

```
data_MnRe2Ru
_chemical_formula_sum 'Mn1 Re2 Ru1'
_cell_length_a 2.686
_cell_length_b 2.686
_cell_length_c 8.584
_cell_angle_alpha 90.00
_cell_angle_beta 90.00
_cell_angle_gamma 111.78
_symmetry_space_group_name_H-M 'P 1'
_symmetry_Int_Tables_number 1
loop_
_symmetry_equiv_pos_as_xyz
'x,y,z'
loop_
_atom_site_label
_atom_site_fract_x
_atom_site_fract_y
_atom_site_fract_z
_atom_site_occupancy
Re1 0.000 0.000 0.991 1
Re2 0.500 0.500 0.251 1
Ru1 0.000 0.000 0.508 1
Mn1 0.500 0.500 0.750 1
```

Values from the calculation:
Crystal system: orthorhombic
Total energy, eV per atom: -10.55
ΔE to the lowest computed polymorph, meV per atom: 280